Entry from Alexandria via LeMat-Bulk: a relaxed K3NaTh2O6 crystal (PBEsol).

Geometry as POSCAR:
```
K3NaTh2O6
1.0
-2.346 -4.925 -3.082
2.297 -5.738 1.052
-9.102 -3.323 7.982
O Th K Na
12 4 6 2
direct
0.681 0.832 0.348
0.420 0.463 0.348
0.949 0.800 0.652
0.514 0.168 0.848
0.319 0.168 0.652
0.883 0.537 0.848
0.051 0.200 0.348
0.486 0.832 0.152
0.580 0.537 0.652
0.251 0.800 0.848
0.117 0.463 0.152
0.749 0.200 0.152
0.583 0.835 0.750
0.250 0.500 0.750
0.417 0.165 0.250
0.750 0.500 0.250
0.000 0.500 0.500
0.844 0.844 0.000
0.500 0.500 0.000
0.156 0.156 0.000
0.312 0.844 0.500
0.688 0.156 0.500
0.084 0.832 0.250
0.916 0.168 0.750
```

Calculated values
- Calculated density: 5.5 g cm⁻³
- Raw formation energy: -2.615 eV/atom
- Energy: -6.990 eV per atom